UTa2Nb: relaxed, PBE.

Theoretical density = 15.085 g cm⁻³
E above lowest polymorph = 45.9 meV/atom
Size of the total moment = 0.0 μB/f.u.
E_tot = -11.024 eV per atom
ΔE_f = 241 meV/atom
SG = P4/mmm (123)

Geometry as POSCAR:
```
UTa2Nb
1.0
3.383 0.000 0.000
0.000 3.383 0.000
0.000 0.000 6.662
U Ta Nb
1 2 1
direct
0.000 0.000 0.000
0.500 0.500 0.251
0.500 0.500 0.749
0.000 0.000 0.500
```